[1]
# DyScTcPd

Crystalline DyScTcPd at its relaxed geometry (PBE, the Alexandria database).

As for the total energy: -112.9 eV/cell. Its density of states at the Fermi level is 0.882 states/eV per atom.

The space group is F-43m (No. 216) and the conventional cell measures 6.7128, 6.7128 and 6.7128 Å, with angles of 90.00, 90.00 and 90.00 degrees. The asymmetric unit holds Dy at (0.0000, 0.0000, 0.0000), Sc at (0.0000, 0.0000, 0.5000), Tc at (0.2500, 0.2500, 0.2500) and Pd at (0.2500, 0.2500, 0.7500).

[2]
# ReSnTe2I

Crystalline ReSnTe2I at its relaxed geometry (PBE, the Alexandria database).

As for the formation energy (no corrections): 0.624 eV/atom. The value obtained for the offset from the most stable computed form is 0.000 eV/f.u. Its density of states at the Fermi level is 1.211 states/eV per atom.

The space group is P4/mmm (No. 123) and the conventional cell measures 5.2006, 5.2006 and 5.6916 Å, with angles of 90.00, 90.00 and 90.00 degrees. The asymmetric unit holds Re at (0.0000, 0.0000, 0.0000), Sn at (0.5000, 0.5000, 0.5000), Te at (0.0000, 0.5000, 0.0000) and I at (0.0000, 0.0000, 0.5000).

[3]
# SiHIO2

Crystalline SiHIO2 at its relaxed geometry (PBE, the Alexandria database).

The value obtained for the offset from the most stable computed form is 0.000 eV/f.u. Its density of states at the Fermi level is 0.498 states/eV per atom.

The space group is P4/mmm (No. 123) and the conventional cell measures 3.3537, 3.3537 and 6.3901 Å, with angles of 90.00, 90.00 and 90.00 degrees. The asymmetric unit holds Si at (0.0000, 0.0000, 0.0000), H at (0.5000, 0.5000, 0.5000), I at (0.0000, 0.0000, 0.5000) and O at (0.0000, 0.5000, 0.0000).

[4]
# AlAs2Au

Crystalline AlAs2Au at its relaxed geometry (PBE, the Alexandria database).

As for the total energy: -47.8 eV/cell. Its density of states at the Fermi level is 0.638 states/eV per atom.

The space group is R3m (No. 160, hexagonal axes) and the conventional cell measures 3.0702, 3.0702 and 29.5748 Å, with angles of 90.00, 90.00 and 120.00 degrees. The asymmetric unit holds Al at (0.0000, 0.0000, 0.0000), As at (0.0000, 0.0000, 0.5242), As at (0.0000, 0.0000, 0.7354) and Au at (0.0000, 0.0000, 0.2675).

[5]
# Dy3Y4Rh4

Crystalline Dy3Y4Rh4 at its relaxed geometry (PBE, the Alexandria database).

As for the total energy: -151.7 eV/cell. Its density of states at the Fermi level is 0.668 states/eV per atom.

The space group is Immm (No. 71) and the conventional cell measures 3.6974, 8.9336 and 15.9875 Å, with angles of 90.00, 90.00 and 90.00 degrees. The asymmetric unit holds Dy at (0.0000, 0.0000, 0.0000), Dy at (0.0000, 0.5000, 0.1019), Y at (0.0000, 0.3137, 0.3350), Rh at (0.0000, 0.0000, 0.2543) and Rh at (0.0000, 0.2129, 0.5000).

[6]
# ScTlRh2

Crystalline ScTlRh2 at its relaxed geometry (PBE, the Alexandria database).

The value obtained for the offset from the most stable computed form is 0.818 eV/f.u. Its density of states at the Fermi level is 0.439 states/eV per atom.

The space group is Pm (No. 6) and the conventional cell measures 3.2210, 4.3961 and 5.3320 Å, with angles of 90.00, 106.28 and 90.00 degrees. The asymmetric unit holds Sc at (0.0000, 0.0000, 0.0000), Tl at (0.7247, 0.5000, 0.4095), Rh at (0.2901, 0.0000, 0.5415) and Rh at (0.4425, 0.5000, 0.8802).

[7]
# LaTa2Mo

Crystalline LaTa2Mo at its relaxed geometry (PBE, the Alexandria database).

The value obtained for the offset from the most stable computed form is 0.780 eV/f.u. Its density of states at the Fermi level is 1.023 states/eV per atom.

The space group is Pm (No. 6) and the conventional cell measures 3.0346, 4.4274 and 6.6766 Å, with angles of 90.00, 101.43 and 90.00 degrees. The asymmetric unit holds La at (0.0000, 0.0000, 0.0000), Ta at (0.3448, 0.5000, 0.6679), Ta at (0.8346, 0.0000, 0.4747) and Mo at (0.4498, 0.5000, 0.2998).

[8]
# PuBe2SiH2

Crystalline PuBe2SiH2 at its relaxed geometry (PBE, the Alexandria database).

As for the total energy: -68.9 eV/cell. Its density of states at the Fermi level is 1.192 states/eV per atom.

The space group is P2_1/m (No. 11) and the conventional cell measures 5.7301, 4.4769 and 6.2198 Å, with angles of 90.00, 117.03 and 90.00 degrees. The asymmetric unit holds Pu at (0.1255, 0.2500, 0.3508), Be at (0.4699, 0.5031, 0.8121), Si at (0.1856, 0.2500, 0.9063), H at (0.2898, 0.7500, 0.6178) and H at (0.4557, 0.7500, 0.3223).

[9]
# KCd2SiTe4

Crystalline KCd2SiTe4 at its relaxed geometry (PBE, the Alexandria database).

As for the formation energy (no corrections): -0.342 eV/atom. Its density of states at the Fermi level is 0.276 states/eV per atom.

The space group is Fmm2 (No. 42) and the conventional cell measures 10.6998, 11.2706 and 9.4371 Å, with angles of 90.00, 90.00 and 90.00 degrees. The asymmetric unit holds K at (0.0000, 0.0000, 0.0000), Cd at (0.2500, 0.2500, 0.2364), Si at (0.0000, 0.0000, 0.5106), Te at (0.0000, 0.1902, 0.3643) and Te at (0.1987, 0.0000, 0.6620).

[10]
# Th2PaTi

Crystalline Th2PaTi at its relaxed geometry (PBE, the Alexandria database).

The value obtained for the offset from the most stable computed form is 1.239 eV/f.u. Its density of states at the Fermi level is 1.835 states/eV per atom.

The space group is R-3m (No. 166, hexagonal axes) and the conventional cell measures 3.2626, 3.2626 and 35.0986 Å, with angles of 90.00, 90.00 and 120.00 degrees. The asymmetric unit holds Th at (0.0000, 0.0000, 0.0817), Pa at (0.0000, 0.0000, 0.5000) and Ti at (0.0000, 0.0000, 0.0000).

[11]
# La8Pm2Er3

Crystalline La8Pm2Er3 at its relaxed geometry (PBE, the Alexandria database).

The value obtained for the offset from the most stable computed form is 0.000 eV/f.u. Its density of states at the Fermi level is 1.567 states/eV per atom.

The space group is C2/m (No. 12) and the conventional cell measures 13.6783, 11.8732 and 6.1863 Å, with angles of 90.00, 113.45 and 90.00 degrees. The asymmetric unit holds La at (0.0839, 0.0000, 0.2428), La at (0.1377, 0.5000, 0.6161), La at (0.1619, 0.2627, 0.1519), Pm at (0.1864, 0.0000, 0.8273), Er at (0.0000, 0.2321, 0.5000) and Er at (0.0000, 0.5000, 0.0000).

[12]
# CoTeS2

Crystalline CoTeS2 at its relaxed geometry (PBE, the Alexandria database).

As for the formation energy (no corrections): 0.483 eV/atom. Its density of states at the Fermi level is 2.033 states/eV per atom.

The space group is R-3m (No. 166, hexagonal axes) and the conventional cell measures 4.0803, 4.0803 and 21.2704 Å, with angles of 90.00, 90.00 and 120.00 degrees. The asymmetric unit holds Co at (0.0000, 0.0000, 0.0000), Te at (0.0000, 0.0000, 0.5000) and S at (0.0000, 0.0000, 0.0982).

[13]
# Ba2SrBS

Crystalline Ba2SrBS at its relaxed geometry (PBE, the Alexandria database).

As for the formation energy (no corrections): 0.792 eV/atom. The value obtained for the offset from the most stable computed form is 3.810 eV/f.u. Its density of states at the Fermi level is 0.881 states/eV per atom.

The space group is P4/mmm (No. 123) and the conventional cell measures 6.4309, 6.4309 and 4.4187 Å, with angles of 90.00, 90.00 and 90.00 degrees. The asymmetric unit holds Ba at (0.0000, 0.5000, 0.0000), Sr at (0.0000, 0.0000, 0.0000), B at (0.0000, 0.0000, 0.5000) and S at (0.5000, 0.5000, 0.5000).

[14]
# CaCl2

Crystalline CaCl2 at its relaxed geometry (PBE, the Alexandria database).

As for the formation energy (no corrections): -2.305 eV/atom. Its density of states at the Fermi level is 0.000 states/eV per atom.

The space group is Cmc2_1 (No. 36) and the conventional cell measures 3.8250, 12.1031 and 6.6450 Å, with angles of 90.00, 90.00 and 90.00 degrees. The asymmetric unit holds Ca at (0.0000, 0.1177, 0.0000), Cl at (0.0000, 0.2311, 0.4028) and Cl at (0.0000, 0.4982, 0.2233).

[15]
# LaCeFeC

Crystalline LaCeFeC at its relaxed geometry (PBE, the Alexandria database).

As for the total energy: -56.2 eV/cell. Its density of states at the Fermi level is 0.993 states/eV per atom.

The space group is P4/nmm (No. 129, origin choice 2) and the conventional cell measures 3.6744, 3.6744 and 11.5458 Å, with angles of 90.00, 90.00 and 90.00 degrees. The asymmetric unit holds La at (0.2500, 0.2500, 0.1970), Ce at (0.2500, 0.7500, 0.5000), Fe at (0.2500, 0.7500, 0.0000) and C at (0.2500, 0.2500, 0.9280).

[16]
# NaPb3F

Crystalline NaPb3F at its relaxed geometry (PBE, the Alexandria database).

As for the formation energy (no corrections): 0.243 eV/atom. The value obtained for the offset from the most stable computed form is 3.856 eV/f.u. Its density of states at the Fermi level is 0.956 states/eV per atom.

The space group is Pm-3m (No. 221) and the conventional cell measures 5.5402, 5.5402 and 5.5402 Å, with angles of 90.00, 90.00 and 90.00 degrees. The asymmetric unit holds Na at (0.0000, 0.0000, 0.0000), Pb at (0.0000, 0.0000, 0.5000) and F at (0.5000, 0.5000, 0.5000).

[17]
# NaZr2AlW

Crystalline NaZr2AlW at its relaxed geometry (PBE, the Alexandria database).

As for the total energy: -26.2 eV/cell. Its density of states at the Fermi level is 0.965 states/eV per atom.

The space group is P4/mmm (No. 123) and the conventional cell measures 4.8779, 4.8779 and 4.5993 Å, with angles of 90.00, 90.00 and 90.00 degrees. The asymmetric unit holds Na at (0.0000, 0.0000, 0.0000), Zr at (0.0000, 0.5000, 0.0000), Al at (0.5000, 0.5000, 0.5000) and W at (0.0000, 0.0000, 0.5000).

[18]
# MnB3P

Crystalline MnB3P at its relaxed geometry (PBE, the Alexandria database).

The value obtained for the offset from the most stable computed form is 1.809 eV/f.u. Its density of states at the Fermi level is 1.094 states/eV per atom.

The space group is Pm-3m (No. 221) and the conventional cell measures 3.7821, 3.7821 and 3.7821 Å, with angles of 90.00, 90.00 and 90.00 degrees. The asymmetric unit holds Mn at (0.0000, 0.0000, 0.0000), B at (0.0000, 0.5000, 0.5000) and P at (0.5000, 0.5000, 0.5000).

[19]
# BaTl4Hg

Crystalline BaTl4Hg at its relaxed geometry (PBE, the Alexandria database).

The value obtained for the offset from the most stable computed form is 0.000 eV/f.u. Its density of states at the Fermi level is 0.464 states/eV per atom.

The space group is Cmmm (No. 65) and the conventional cell measures 4.9451, 15.1150 and 5.1567 Å, with angles of 90.00, 90.00 and 90.00 degrees. The asymmetric unit holds Ba at (0.0000, 0.0000, 0.0000), Tl at (0.0000, 0.1704, 0.5000), Tl at (0.0000, 0.3206, 0.0000) and Hg at (0.0000, 0.5000, 0.5000).

[20]
# K2NaBiBr6

Crystalline K2NaBiBr6 at its relaxed geometry (PBE, the Alexandria database).

As for the formation energy (no corrections): -1.328 eV/atom. The value obtained for the offset from the most stable computed form is 0.000 eV/f.u. Its density of states at the Fermi level is 0.000 states/eV per atom.

The space group is P2_1/c (No. 14) and the conventional cell measures 7.7571, 8.1922 and 13.5343 Å, with angles of 90.00, 124.46 and 90.00 degrees. The asymmetric unit holds K at (0.2187, 0.0805, 0.2470), Na at (0.0000, 0.0000, 0.5000), Bi at (0.5000, 0.0000, 0.0000), Br at (0.1420, 0.1913, 0.9438), Br at (0.2555, 0.7043, 0.9406) and Br at (0.3697, 0.0349, 0.7545).

[21]
# TaReGe2

Crystalline TaReGe2 at its relaxed geometry (PBE, the Alexandria database).

The value obtained for the offset from the most stable computed form is 0.000 eV/f.u. Its density of states at the Fermi level is 1.436 states/eV per atom.

The space group is Fm-3m (No. 225) and the conventional cell measures 6.3032, 6.3032 and 6.3032 Å, with angles of 90.00, 90.00 and 90.00 degrees. The asymmetric unit holds Ta at (0.0000, 0.0000, 0.0000), Re at (0.0000, 0.0000, 0.5000) and Ge at (0.2500, 0.2500, 0.2500).

Number 1: size of the total moment 0.0 μB per formula unit. Number 2: size of the total moment 0.0 μB per formula unit. Number 3: size of the total moment 0.0 μB per formula unit. Number 4: size of the total moment 0.0 μB per formula unit. Number 5: size of the total moment 0.0 μB per formula unit. Number 6: size of the total moment 0.0 μB per formula unit. Number 7: size of the total moment 0.0 μB per formula unit. Number 8: size of the total moment 5.9 μB per formula unit. Number 9: size of the total moment 0.0 μB per formula unit. Number 10: size of the total moment 0.0 μB per formula unit. Number 11: size of the total moment 0.0 μB per formula unit. Number 12: size of the total moment 1.4 μB per formula unit. Number 13: size of the total moment 0.5 μB per formula unit. Number 14: size of the total moment 0.0 μB per formula unit. Number 15: size of the total moment 0.0 μB per formula unit. Number 16: size of the total moment 0.0 μB per formula unit. Number 17: size of the total moment 0.0 μB per formula unit. Number 18: size of the total moment 0.4 μB per formula unit. Number 19: size of the total moment 0.0 μB per formula unit. Number 20: size of the total moment 0.0 μB per formula unit. Number 21: size of the total moment 0.0 μB per formula unit.